[1]
Entry from Alexandria: a geometry-optimized Tl2TeMo structure (PBE).

a = 7.4797 Å, b = 7.4797 Å, c = 7.4797 Å
α = 154.70°, β = 142.56°, γ = 45.72°
Closest atoms and distances in Å follow each position.
Element x y z (fractional)
Tl1 0.0000 0.0000 0.0000  4 Mo 2.93, 2 Tl 3.28
Tl2 0.6722 0.1722 0.5000  2 Mo 3.20, 4 Tl 3.28-3.38, 4 Te 3.54
Te1 0.3190 0.8190 0.5000  2 Mo 2.68
Mo1 0.4728 0.4728 0.0000  2 Te 2.68, 4 Tl 2.93

## Properties
Energy above the most stable polymorph in this dataset, kJ/mol of formula units: 52
Magnetization, μB/atom: 0.14
Space-group type: No. 44
Uncorrected formation energy, eV/atom: 0.34
DOS at the Fermi energy, states/eV/atom: 0.78


[2]
Entry from Alexandria: a geometry-optimized Tl2TeMo structure (PBE).

a = 4.3594 Å, b = 4.3594 Å, c = 5.7195 Å
α = 90.00°, β = 90.00°, γ = 90.00°
Closest atoms and distances in Å follow each position.
Element x y z (fractional)
Tl1 0.0000 0.5000 0.0000  4 Tl 3.08
Tl2 0.5000 0.0000 0.0000  4 Tl 3.08
Te1 0.0000 0.0000 0.5000  4 Mo 3.08
Mo1 0.5000 0.5000 0.5000  4 Te 3.08

## Properties
Energy above the most stable polymorph in this dataset, kJ/mol of formula units: 173
Magnetization, μB/atom: 0.96
Space-group type: No. 123
Uncorrected formation energy, eV/atom: 0.66
DOS at the Fermi energy, states/eV/atom: 0.40


[3]
Entry from Alexandria: a geometry-optimized Tl2TeMo structure (PBE).

a = 3.2800 Å, b = 3.2800 Å, c = 10.6878 Å
α = 90.00°, β = 90.00°, γ = 114.19°
Closest atoms and distances in Å follow each position.
Element x y z (fractional)
Tl1 0.0000 0.0000 0.0000  8 Tl 3.28-3.56
Tl2 0.5000 0.5000 0.2664  2 Mo 2.95, 4 Tl 3.28
Te1 0.5000 0.5000 0.6687  2 Mo 2.64
Mo1 0.0000 0.0000 0.4864  2 Te 2.64, 2 Tl 2.95

## Properties
Energy above the most stable polymorph in this dataset, kJ/mol of formula units: 76
Magnetization, μB/atom: 0.00
Space-group type: No. 35
Uncorrected formation energy, eV/atom: 0.40
DOS at the Fermi energy, states/eV/atom: 0.72


[4]
Entry from Alexandria: a geometry-optimized TlTeMo2 structure (PBE).

a = 9.4691 Å, b = 9.4691 Å, c = 9.4691 Å
α = 20.27°, β = 20.27°, γ = 20.27°
Closest atoms and distances in Å follow each position.
Element x y z (fractional)
Tl1 0.0000 0.0000 0.0000  3 Mo 3.10, 6 Tl 3.33
Te1 0.7758 0.7758 0.7758  3 Mo 2.88
Mo1 0.2459 0.2459 0.2459  3 Mo 2.54
Mo2 0.5195 0.5195 0.5195  3 Mo 2.54

## Properties
Energy above the most stable polymorph in this dataset, kJ/mol of formula units: 34
Magnetization, μB/atom: 0.00
Space-group type: No. 160
Uncorrected formation energy, eV/atom: 0.37
DOS at the Fermi energy, states/eV/atom: 0.70


[5]
Entry from Alexandria: a geometry-optimized Tl2TeMo structure (PBE).

a = 6.4770 Å, b = 6.4770 Å, c = 6.4770 Å
α = 140.82°, β = 140.82°, γ = 56.61°
Closest atoms and distances in Å follow each position.
Element x y z (fractional)
Tl1 0.2500 0.7500 0.5000  4 Tl 3.07
Tl2 0.7500 0.2500 0.5000  4 Tl 3.07
Te1 0.0000 0.0000 0.0000  4 Mo 3.07
Mo1 0.5000 0.5000 0.0000  4 Te 3.07

## Properties
Energy above the most stable polymorph in this dataset, kJ/mol of formula units: 162
Magnetization, μB/atom: 0.93
Space-group type: No. 139
Uncorrected formation energy, eV/atom: 0.63
DOS at the Fermi energy, states/eV/atom: 0.53


[6]
Entry from Alexandria: a geometry-optimized TlTeMo4 structure (PBE).

a = 5.4282 Å, b = 5.4282 Å, c = 5.4282 Å
α = 60.00°, β = 60.00°, γ = 60.00°
Closest atoms and distances in Å follow each position.
Element x y z (fractional)
Tl1 0.0000 0.0000 0.0000  12 Mo 3.18, 4 Te 3.32
Te1 0.2500 0.2500 0.2500  12 Mo 3.18, 4 Tl 3.32
Mo1 0.1258 0.6247 0.6247  6 Mo 2.71-2.72
Mo2 0.6247 0.1258 0.6247  6 Mo 2.71-2.72
Mo3 0.6247 0.6247 0.1258  6 Mo 2.71-2.72
Mo4 0.6247 0.6247 0.6247  6 Mo 2.71-2.72

## Properties
Magnetization, μB/atom: 0.00
Space-group type: No. 216
Uncorrected formation energy, eV/atom: 0.64
DOS at the Fermi energy, states/eV/atom: 0.89


[7]
Entry from Alexandria: a geometry-optimized Tl2TeMo structure (PBE).

a = 5.4467 Å, b = 5.4467 Å, c = 5.4467 Å
α = 60.00°, β = 60.00°, γ = 60.00°
Closest atoms and distances in Å follow each position.
Element x y z (fractional)
Tl1 0.2500 0.2500 0.2500  4 Mo 3.34, 4 Te 3.34
Tl2 0.7500 0.7500 0.7500  4 Mo 3.34, 4 Te 3.34
Te1 0.0000 0.0000 0.0000  8 Tl 3.34
Mo1 0.5000 0.5000 0.5000  8 Tl 3.34

## Properties
Energy above the most stable polymorph in this dataset, kJ/mol of formula units: 275
Magnetization, μB/atom: 1.11
Space-group type: No. 225
Uncorrected formation energy, eV/atom: 0.92
DOS at the Fermi energy, states/eV/atom: 1.17


[8]
Entry from Alexandria: a geometry-optimized Tl2TeMo structure (PBE).

a = 4.4518 Å, b = 5.9581 Å, c = 5.9581 Å
α = 39.32°, β = 90.00°, γ = 90.00°
Closest atoms and distances in Å follow each position.
Element x y z (fractional)
Tl1 0.0000 0.0000 0.0000  4 Mo 3.12, 3 Te 3.15-3.18
Tl2 0.5000 0.3140 0.3140  1 Mo 2.95, 4 Te 3.19
Te1 0.0000 0.7166 0.7166  2 Mo 2.72
Mo1 0.5000 0.5769 0.5769  2 Te 2.72, 1 Tl 2.95

## Properties
Energy above the most stable polymorph in this dataset, kJ/mol of formula units: 100
Magnetization, μB/atom: 0.00
Space-group type: No. 38
Uncorrected formation energy, eV/atom: 0.47
DOS at the Fermi energy, states/eV/atom: 0.67


[9]
Entry from Alexandria: a geometry-optimized Tl2TeMo structure (PBE).

a = 5.7985 Å, b = 5.7985 Å, c = 3.0658 Å
α = 90.00°, β = 90.00°, γ = 110.54°
Closest atoms and distances in Å follow each position.
Element x y z (fractional)
Tl1 0.0000 0.5000 0.0000  4 Tl 3.07-3.30, 4 Mo 3.28, 4 Te 3.28
Tl2 0.5000 0.0000 0.0000  4 Tl 3.07-3.30, 4 Mo 3.28, 4 Te 3.28
Te1 0.0000 0.0000 0.5000  2 Te 3.07, 8 Tl 3.28, 2 Mo 3.30
Mo1 0.5000 0.5000 0.5000  2 Mo 3.07, 8 Tl 3.28, 2 Te 3.30

## Properties
Energy above the most stable polymorph in this dataset, kJ/mol of formula units: 202
Magnetization, μB/atom: 0.13
Space-group type: No. 65
Uncorrected formation energy, eV/atom: 0.73
DOS at the Fermi energy, states/eV/atom: 0.79


[10]
Entry from Alexandria: a geometry-optimized TlTe2Mo structure (PBE).

a = 3.2782 Å, b = 3.2782 Å, c = 10.7606 Å
α = 90.00°, β = 90.00°, γ = 115.30°
Closest atoms and distances in Å follow each position.
Element x y z (fractional)
Tl1 0.0000 0.0000 0.0000  6 Tl 3.28-3.51
Te1 0.5000 0.5000 0.3029  2 Mo 2.75
Te2 0.5000 0.5000 0.6971  2 Mo 2.75
Mo1 0.0000 0.0000 0.5000  4 Te 2.75

## Properties
Magnetization, μB/atom: 0.05
Space-group type: No. 65
Uncorrected formation energy, eV/atom: 0.32
DOS at the Fermi energy, states/eV/atom: 0.96


[11]
Entry from Alexandria: a geometry-optimized TlTe2Mo structure (PBE).

a = 6.1815 Å, b = 6.1815 Å, c = 6.1815 Å
α = 137.65°, β = 137.65°, γ = 61.45°
Closest atoms and distances in Å follow each position.
Element x y z (fractional)
Tl1 0.0000 0.0000 0.0000  8 Te 3.16-3.47, 4 Mo 3.47
Te1 0.5000 0.5000 0.0000  4 Tl 3.16, 4 Mo 3.47, 4 Te 3.47
Te2 0.7500 0.2500 0.5000  4 Mo 3.16, 4 Tl 3.47, 4 Te 3.47
Mo1 0.2500 0.7500 0.5000  8 Te 3.16-3.47, 4 Tl 3.47

## Properties
Magnetization, μB/atom: 0.78
Space-group type: No. 119
Uncorrected formation energy, eV/atom: 0.66
DOS at the Fermi energy, states/eV/atom: 0.66


[12]
Entry from Alexandria: a geometry-optimized TlTeMo2 structure (PBE).

a = 4.7254 Å, b = 4.7254 Å, c = 3.3628 Å
α = 90.00°, β = 90.00°, γ = 90.00°
Closest atoms and distances in Å follow each position.
Element x y z (fractional)
Tl1 0.0000 0.0000 0.0000  8 Mo 2.90
Te1 0.5000 0.5000 0.0000  8 Mo 2.90
Mo1 0.0000 0.5000 0.5000  4 Te 2.90, 4 Tl 2.90
Mo2 0.5000 0.0000 0.5000  4 Te 2.90, 4 Tl 2.90

## Properties
Energy above the most stable polymorph in this dataset, kJ/mol of formula units: 154
Magnetization, μB/atom: 0.00
Space-group type: No. 123
Uncorrected formation energy, eV/atom: 0.68
DOS at the Fermi energy, states/eV/atom: 1.14


[13]
Entry from Alexandria: a geometry-optimized Tl2TeMo structure (PBE).

a = 3.7225 Å, b = 5.3820 Å, c = 5.2949 Å
α = 90.00°, β = 97.35°, γ = 90.00°
Closest atoms and distances in Å follow each position.
Element x y z (fractional)
Tl1 0.1954 0.0000 0.2672  3 Tl 3.01-3.13, 2 Mo 3.11, 2 Te 3.31
Tl2 0.8046 0.0000 0.7328  3 Tl 3.01-3.13, 2 Mo 3.11, 2 Te 3.31
Te1 0.5000 0.5000 0.0000  2 Mo 2.65
Mo1 0.5000 0.5000 0.5000  2 Te 2.65

## Properties
Energy above the most stable polymorph in this dataset, kJ/mol of formula units: 181
Magnetization, μB/atom: 0.20
Space-group type: No. 10
Uncorrected formation energy, eV/atom: 0.68
DOS at the Fermi energy, states/eV/atom: 0.80


[14]
Entry from Alexandria: a geometry-optimized TlTeMo structure (PBE).

a = 3.4438 Å, b = 3.4438 Å, c = 6.9204 Å
α = 90.00°, β = 90.00°, γ = 120.00°
Closest atoms and distances in Å follow each position.
Element x y z (fractional)
Tl1 0.0000 0.0000 0.0000  3 Mo 2.97
Te1 0.3333 0.6667 0.5771  3 Mo 2.67
Mo1 0.6667 0.3333 0.3196  3 Te 2.67, 3 Tl 2.97

## Properties
Energy above the most stable polymorph in this dataset, kJ/mol of formula units: 0
Magnetization, μB/atom: 0.00
Space-group type: No. 156
Uncorrected formation energy, eV/atom: 0.27
DOS at the Fermi energy, states/eV/atom: 0.94


[15]
Entry from Alexandria: a geometry-optimized TlTeMo2 structure (PBE).

a = 3.3104 Å, b = 3.3104 Å, c = 6.9792 Å
α = 90.00°, β = 90.00°, γ = 90.00°
Closest atoms and distances in Å follow each position.
Element x y z (fractional)
Tl1 0.0000 0.0000 0.0000  8 Mo 3.06, 4 Tl 3.31
Te1 0.0000 0.0000 0.5000  8 Mo 2.79
Mo1 0.5000 0.5000 0.2817  4 Te 2.79, 1 Mo 3.05, 4 Tl 3.06
Mo2 0.5000 0.5000 0.7183  4 Te 2.79, 1 Mo 3.05, 4 Tl 3.06

## Properties
Energy above the most stable polymorph in this dataset, kJ/mol of formula units: 133
Magnetization, μB/atom: 0.00
Space-group type: No. 123
Uncorrected formation energy, eV/atom: 0.63
DOS at the Fermi energy, states/eV/atom: 1.02